(1)
Density functional theory data (PBE-GGA) for an optimized crystal structure of HRh2AuICl.

Properties
As for the energy above the lowest structure with this stoichiometry: 86 meV/atom. As for the volume: 19.16 Å³ per atom. For the electronic total energy, the calculation gives -3.94 eV per atom.

Lattice parameters (Å, degrees): 3.939 5.045 6.284 109.14 96.30 98.54
Fractional positions:
H: 0.000 0.000 0.000
Rh: 0.116 0.351 0.136
Rh: 0.661 0.289 0.406
Au: 0.520 0.951 0.936
I: 0.220 0.392 0.712
Cl: 0.593 0.757 0.365



(2)
Density functional theory data (PBE-GGA) for an optimized crystal structure of HRh2AuICl.

Properties
As for the energy above the lowest structure with this stoichiometry: 28 meV/atom. As for the volume: 18.35 Å³ per atom. For the electronic total energy, the calculation gives -4.00 eV per atom.

Lattice parameters (Å, degrees): 3.636 5.463 6.010 110.88 98.24 90.82
Fractional positions:
H: 0.000 0.000 0.000
Rh: 0.537 0.061 0.090
Rh: 0.949 0.654 0.827
Au: 0.404 0.852 0.603
I: 0.501 0.546 0.096
Cl: 0.870 0.222 0.504



(3)
Density functional theory data (PBE-GGA) for an optimized crystal structure of HRh2AuICl.

Properties
As for the energy above the lowest structure with this stoichiometry: 0 meV/atom. As for the volume: 19.18 Å³ per atom. For the electronic total energy, the calculation gives -4.03 eV per atom.

Lattice parameters (Å, degrees): 11.567 3.507 6.395 90.00 117.47 90.00
Fractional positions:
H: 0.000 0.000 0.000
H: 0.500 0.500 0.000
Rh: 0.019 0.000 0.733
Rh: 0.150 0.000 0.225
Rh: 0.519 0.500 0.733
Rh: 0.650 0.500 0.225
Au: 0.034 0.500 0.387
Au: 0.534 0.000 0.387
I: 0.201 0.500 0.972
I: 0.701 0.000 0.972
Cl: 0.343 0.000 0.606
Cl: 0.843 0.500 0.606



(4)
Density functional theory data (PBE-GGA) for an optimized crystal structure of HRh2AuICl.

Properties
As for the energy above the lowest structure with this stoichiometry: 7 meV/atom. As for the volume: 18.01 Å³ per atom. For the electronic total energy, the calculation gives -4.02 eV per atom.

Lattice parameters (Å, degrees): 11.321 3.393 6.182 90.00 114.49 90.00
Fractional positions:
H: 0.000 0.000 0.000
H: 0.500 0.500 0.000
Rh: 0.146 0.000 0.232
Rh: 0.422 0.000 0.018
Rh: 0.646 0.500 0.232
Rh: 0.922 0.500 0.018
Au: 0.054 0.500 0.480
Au: 0.554 0.000 0.480
I: 0.229 0.500 0.984
I: 0.729 0.000 0.984
Cl: 0.355 0.000 0.593
Cl: 0.855 0.500 0.593



(5)
Density functional theory data (PBE-GGA) for an optimized crystal structure of In2HAuCl.

Properties
As for the volume: 22.36 Å³ per atom. For the electronic total energy, the calculation gives -3.07 eV per atom.

Lattice parameters (Å, degrees): 5.577 5.577 3.595 90.00 90.00 90.00
Fractional positions:
In: 0.000 0.500 0.000
In: 0.500 0.000 0.000
H: 0.000 0.000 0.500
Au: 0.000 0.000 0.000
Cl: 0.500 0.500 0.500



(6)
Density functional theory data (PBE-GGA) for an optimized crystal structure of HIrAu2Cl.

Properties
As for the volume: 21.62 Å³ per atom. For the electronic total energy, the calculation gives -2.45 eV per atom.

Lattice parameters (Å, degrees): 4.976 4.976 4.366 90.00 90.00 90.00
Fractional positions:
H: 0.000 0.000 0.000
Ir: 0.500 0.500 0.000
Au: 0.000 0.500 0.500
Au: 0.500 0.000 0.500
Cl: 0.500 0.500 0.500



(7)
Density functional theory data (PBE-GGA) for an optimized crystal structure of KLi2HAuCl.

Properties
As for the energy above the lowest structure with this stoichiometry: 48 meV/atom. As for the volume: 19.94 Å³ per atom. For the electronic total energy, the calculation gives -2.99 eV per atom.

Lattice parameters (Å, degrees): 11.927 3.475 6.015 90.00 106.32 90.00
Fractional positions:
K: 0.000 0.000 0.000
K: 0.500 0.500 0.000
Li: 0.150 0.000 0.611
Li: 0.266 0.500 0.315
Li: 0.650 0.500 0.611
Li: 0.766 0.000 0.315
H: 0.199 0.000 0.354
H: 0.699 0.500 0.354
Au: 0.456 0.000 0.468
Au: 0.956 0.500 0.468
Cl: 0.224 0.500 0.896
Cl: 0.724 0.000 0.896



(8)
Density functional theory data (PBE-GGA) for an optimized crystal structure of KLi2HAuCl.

Properties
As for the energy above the lowest structure with this stoichiometry: 0 meV/atom. As for the volume: 19.16 Å³ per atom. For the electronic total energy, the calculation gives -3.04 eV per atom.

Lattice parameters (Å, degrees): 3.979 3.979 7.260 90.00 90.00 90.00
Fractional positions:
K: 0.000 0.000 0.000
Li: 0.000 0.500 0.539
Li: 0.500 0.000 0.539
H: 0.000 0.000 0.544
Au: 0.500 0.500 0.274
Cl: 0.500 0.500 0.771



(9)
Density functional theory data (PBE-GGA) for an optimized crystal structure of KLi2HAuCl.

Properties
As for the energy above the lowest structure with this stoichiometry: 61 meV/atom. As for the volume: 21.33 Å³ per atom. For the electronic total energy, the calculation gives -2.98 eV per atom.

Lattice parameters (Å, degrees): 12.240 3.507 6.515 90.00 113.79 90.00
Fractional positions:
K: 0.000 0.000 0.000
K: 0.500 0.500 0.000
Li: 0.227 0.500 0.582
Li: 0.360 0.000 0.426
Li: 0.727 0.000 0.582
Li: 0.860 0.500 0.426
H: 0.327 0.000 0.690
H: 0.827 0.500 0.690
Au: 0.048 0.000 0.537
Au: 0.548 0.500 0.537
Cl: 0.231 0.500 0.209
Cl: 0.731 0.000 0.209



(10)
Density functional theory data (PBE-GGA) for an optimized crystal structure of KLi2HAuCl.

Properties
As for the energy above the lowest structure with this stoichiometry: 51 meV/atom. As for the volume: 19.61 Å³ per atom. For the electronic total energy, the calculation gives -2.99 eV per atom.

Lattice parameters (Å, degrees): 11.876 3.438 6.140 90.00 110.17 90.00
Fractional positions:
K: 0.000 0.000 0.000
K: 0.500 0.500 0.000
Li: 0.204 0.000 0.735
Li: 0.327 0.500 0.452
Li: 0.704 0.500 0.735
Li: 0.827 0.000 0.452
H: 0.331 0.000 0.627
H: 0.831 0.500 0.627
Au: 0.029 0.500 0.486
Au: 0.529 0.000 0.486
Cl: 0.236 0.500 0.039
Cl: 0.736 0.000 0.039



(11)
Density functional theory data (PBE-GGA) for an optimized crystal structure of KLi2HAuCl.

Properties
As for the energy above the lowest structure with this stoichiometry: 58 meV/atom. As for the volume: 21.22 Å³ per atom. For the electronic total energy, the calculation gives -2.98 eV per atom.

Lattice parameters (Å, degrees): 6.706 3.904 9.727 90.00 90.03 90.00
Fractional positions:
K: 0.000 0.000 0.000
K: 0.500 0.500 0.000
Li: 0.331 0.000 0.647
Li: 0.333 0.000 0.307
Li: 0.831 0.500 0.647
Li: 0.833 0.500 0.307
H: 0.335 0.000 0.126
H: 0.835 0.500 0.126
Au: 0.499 0.500 0.454
Au: 0.999 0.000 0.454
Cl: 0.165 0.500 0.762
Cl: 0.665 0.000 0.762



(12)
Density functional theory data (PBE-GGA) for an optimized crystal structure of KLi2HAuCl.

Properties
As for the energy above the lowest structure with this stoichiometry: 90 meV/atom. As for the volume: 20.50 Å³ per atom. For the electronic total energy, the calculation gives -2.95 eV per atom.

Lattice parameters (Å, degrees): 3.812 3.787 17.041 90.00 90.00 90.00
Fractional positions:
K: 0.000 0.000 0.000
K: 0.000 0.500 0.500
Li: 0.500 0.000 0.175
Li: 0.500 0.000 0.807
Li: 0.500 0.500 0.307
Li: 0.500 0.500 0.675
H: 0.000 0.000 0.198
H: 0.000 0.500 0.698
Au: 0.000 0.000 0.686
Au: 0.000 0.500 0.186
Cl: 0.500 0.000 0.397
Cl: 0.500 0.500 0.897



(13)
Density functional theory data (PBE-GGA) for an optimized crystal structure of KLi2HAuCl.

Properties
As for the energy above the lowest structure with this stoichiometry: 31 meV/atom. As for the volume: 19.14 Å³ per atom. For the electronic total energy, the calculation gives -3.01 eV per atom.

Lattice parameters (Å, degrees): 3.746 3.515 17.444 90.00 90.00 90.00
Fractional positions:
K: 0.000 0.000 0.000
K: 0.000 0.500 0.500
Li: 0.000 0.000 0.208
Li: 0.000 0.500 0.708
Li: 0.500 0.000 0.808
Li: 0.500 0.500 0.308
H: 0.000 0.000 0.765
H: 0.000 0.500 0.265
Au: 0.500 0.000 0.639
Au: 0.500 0.500 0.139
Cl: 0.500 0.000 0.398
Cl: 0.500 0.500 0.898



(14)
Density functional theory data (PBE-GGA) for an optimized crystal structure of KLi2HAuCl.

Properties
As for the energy above the lowest structure with this stoichiometry: 65 meV/atom. As for the volume: 21.17 Å³ per atom. For the electronic total energy, the calculation gives -2.97 eV per atom.

Lattice parameters (Å, degrees): 6.644 3.881 10.114 90.00 103.03 90.00
Fractional positions:
K: 0.000 0.000 0.000
K: 0.500 0.500 0.000
Li: 0.122 0.000 0.358
Li: 0.235 0.000 0.695
Li: 0.622 0.500 0.358
Li: 0.735 0.500 0.695
H: 0.292 0.000 0.873
H: 0.792 0.500 0.873
Au: 0.020 0.500 0.548
Au: 0.520 0.000 0.548
Cl: 0.247 0.500 0.239
Cl: 0.747 0.000 0.239



(15)
Density functional theory data (PBE-GGA) for an optimized crystal structure of KLi2HAuCl.

Properties
As for the energy above the lowest structure with this stoichiometry: 34 meV/atom. As for the volume: 19.54 Å³ per atom. For the electronic total energy, the calculation gives -3.01 eV per atom.

Lattice parameters (Å, degrees): 3.519 3.519 9.466 90.00 90.05 90.00
Fractional positions:
K: 0.000 0.000 0.000
Li: 0.502 0.500 0.286
Li: 0.997 0.000 0.599
H: 0.500 0.500 0.091
Au: 0.497 0.500 0.717
Cl: 0.001 0.000 0.352



(16)
Density functional theory data (PBE-GGA) for an optimized crystal structure of KLi2HAuCl.

Properties
As for the energy above the lowest structure with this stoichiometry: 51 meV/atom. As for the volume: 20.92 Å³ per atom. For the electronic total energy, the calculation gives -2.99 eV per atom.

Lattice parameters (Å, degrees): 10.732 3.794 7.160 90.00 120.59 90.00
Fractional positions:
K: 0.000 0.000 0.000
K: 0.500 0.500 0.000
Li: 0.147 0.000 0.613
Li: 0.427 0.000 0.379
Li: 0.647 0.500 0.613
Li: 0.927 0.500 0.379
H: 0.442 0.500 0.493
H: 0.942 0.000 0.493
Au: 0.240 0.500 0.456
Au: 0.740 0.000 0.456
Cl: 0.277 0.000 0.993
Cl: 0.777 0.500 0.993



(17)
Density functional theory data (PBE-GGA) for an optimized crystal structure of KLi2HAuCl.

Properties
As for the energy above the lowest structure with this stoichiometry: 78 meV/atom. As for the volume: 21.98 Å³ per atom. For the electronic total energy, the calculation gives -2.96 eV per atom.

Lattice parameters (Å, degrees): 10.368 3.647 7.062 90.00 99.01 90.00
Fractional positions:
K: 0.000 0.000 0.000
K: 0.500 0.500 0.000
Li: 0.124 0.000 0.546
Li: 0.386 0.000 0.552
Li: 0.624 0.500 0.546
Li: 0.886 0.500 0.552
H: 0.459 0.500 0.578
H: 0.959 0.000 0.578
Au: 0.207 0.500 0.326
Au: 0.707 0.000 0.326
Cl: 0.273 0.000 0.827
Cl: 0.773 0.500 0.827



(18)
Density functional theory data (PBE-GGA) for an optimized crystal structure of KLi2HAuCl.

Properties
As for the energy above the lowest structure with this stoichiometry: 72 meV/atom. As for the volume: 20.39 Å³ per atom. For the electronic total energy, the calculation gives -2.97 eV per atom.

Lattice parameters (Å, degrees): 4.164 3.390 8.844 90.00 101.60 90.00
Fractional positions:
K: 0.000 0.000 0.000
Li: 0.340 0.000 0.605
Li: 0.651 0.000 0.328
H: 0.737 0.500 0.213
Au: 0.154 0.500 0.352
Cl: 0.414 0.500 0.803



(19)
Density functional theory data (PBE-GGA) for an optimized crystal structure of KLi2HAuCl.

Properties
As for the energy above the lowest structure with this stoichiometry: 35 meV/atom. As for the volume: 22.71 Å³ per atom. For the electronic total energy, the calculation gives -3.00 eV per atom.

Lattice parameters (Å, degrees): 12.379 3.907 6.671 90.00 122.38 90.00
Fractional positions:
K: 0.000 0.000 0.000
K: 0.500 0.500 0.000
Li: 0.138 0.500 0.727
Li: 0.323 0.000 0.465
Li: 0.638 0.000 0.727
Li: 0.823 0.500 0.465
H: 0.487 0.000 0.708
H: 0.987 0.500 0.708
Au: 0.284 0.000 0.028
Au: 0.784 0.500 0.028
Cl: 0.201 0.500 0.444
Cl: 0.701 0.000 0.444



(20)
Density functional theory data (PBE-GGA) for an optimized crystal structure of KLi2HAuCl.

Properties
As for the energy above the lowest structure with this stoichiometry: 86 meV/atom. As for the volume: 20.55 Å³ per atom. For the electronic total energy, the calculation gives -2.95 eV per atom.

Lattice parameters (Å, degrees): 3.676 5.571 6.794 69.47 88.19 71.75
Fractional positions:
K: 0.000 0.000 0.000
Li: 0.511 0.960 0.531
Li: 0.798 0.364 0.442
H: 0.434 0.197 0.682
Au: 0.186 0.592 0.615
Cl: 0.327 0.339 0.200